Entry 1:
# NaMg2I

Crystalline NaMg2I at its relaxed geometry (PBE, Alexandria).

```
NaMg2I
1.0
9.311 0.000 0.000
0.000 9.311 0.000
4.656 4.656 3.088
Mg Na I
4 2 2
Direct
0.650 0.125 0.250 Mg
0.875 0.900 0.750 Mg
0.375 0.350 0.750 Mg
0.100 0.625 0.250 Mg
0.250 0.750 0.500 Na
0.500 0.500 0.000 Na
0.000 0.000 0.000 I
0.750 0.250 0.500 I
```

Computed properties:
Energy = -6.6 eV per formula unit

***

Entry 2:
# NaMgI2

Crystalline NaMgI2 at its relaxed geometry (PBE, Alexandria).

```
NaMgI2
1.0
0.000 3.996 3.996
3.996 0.000 3.996
3.996 3.996 0.000
I Mg Na
2 1 1
Direct
0.250 0.250 0.250 I
0.750 0.750 0.750 I
0.500 0.500 0.500 Mg
0.000 0.000 0.000 Na
```

Computed properties:
Energy = -8.4 eV per formula unit

***

Entry 3:
# NaMgI3

Crystalline NaMgI3 at its relaxed geometry (PBE, Alexandria).

```
NaMgI3
1.0
-1.574 1.551 -5.408
1.653 -5.240 -1.984
-5.377 -2.065 0.973
I Na Mg
3 1 1
Direct
0.000 0.000 0.500 I
0.000 0.500 0.000 I
0.500 0.000 0.000 I
0.000 0.000 0.000 Na
0.500 0.500 0.500 Mg
```

Computed properties:
Energy = -8.9 eV per formula unit

***

Entry 4:
# Na2MgI

Crystalline Na2MgI at its relaxed geometry (PBE, Alexandria).

```
Na2MgI
1.0
5.694 -1.083 -0.333
2.052 -5.226 1.476
2.040 -3.579 -4.091
Na Mg I
2 1 1
Direct
0.250 0.250 0.250 Na
0.750 0.750 0.750 Na
0.000 0.000 0.000 Mg
0.500 0.500 0.500 I
```

Computed properties:
Energy = -6.7 eV per formula unit